Ce8Zn2In: optimized geometry, GGA-PBE.

Cell lengths 4.4447, 8.0380, 9.1448 Å; angles 116.07, 104.06, 90.00 degrees
Site moments in Bohr magnetons follow the coordinates.
Atoms (fractional coordinates):
Ce1 0.1642 0.1642 0.3283  0.57
Ce2 0.0000 0.3292 0.0000  0.69
Ce3 0.6593 0.4161 0.3186  0.52
Zn1 0.8136 0.3136 0.6273  0.00
Ce4 0.8358 0.8358 0.6717  0.57
Ce5 0.3407 0.5839 0.6814  0.52
Ce6 0.6593 0.9025 0.3186  0.52
Ce7 0.0000 0.6708 0.0000  0.69
In1 0.5000 0.0000 0.0000  -0.01
Zn2 0.1864 0.6864 0.3727  0.00
Ce8 0.3407 0.0975 0.6814  0.52

Results
- Energy: -53.3 eV for the cell shown
- ΔH_f (0 K): -0.05 eV per atom
- Crystal system: orthorhombic
- SG: Immm, No. 71
- Spin magnetization: 5.5 μB per cell
- D(E_F): 3.08 states/eV/atom